Entry 1:
8
Lattice="4.228 0.000 0.000 0.000 4.228 0.000 2.114 2.114 7.605" Properties=species:S:1:pos:R:3 comment="PBE-GGA Co2GeTe, relaxed" polymorph_energy_ev_per_atom=0.000 raw_formation_energy_mev_per_atom=242 pbc="T T T"
Ge 2.114 2.114 0.000
Ge 2.114 4.228 3.803
Te 0.000 0.000 0.000
Te 4.228 2.114 3.803
Co 3.067 1.057 1.901
Co 1.162 3.171 1.901
Co 3.171 3.276 5.704
Co 5.286 5.181 5.704

***

Entry 2:
5
Lattice="4.652 0.000 0.000 0.000 4.652 0.000 0.000 0.000 4.652" Properties=species:S:1:pos:R:3 comment="PBE-GGA CoGe3Te, relaxed" polymorph_energy_ev_per_atom=0.000 raw_formation_energy_mev_per_atom=42 pbc="T T T"
Ge 0.000 2.326 0.000
Ge 0.000 0.000 2.326
Ge 2.326 0.000 0.000
Te 2.326 2.326 2.326
Co 0.000 0.000 0.000

***

Entry 3:
24
Lattice="-1.982 1.950 -5.541 -3.513 -5.135 -0.550 -8.523 5.305 4.916" Properties=species:S:1:pos:R:3 comment="PBE-GGA CoGeTe, relaxed" raw_formation_energy_mev_per_atom=-223 pbc="T T T"
Co -5.063 -0.587 -5.319
Co -11.697 1.109 1.119
Co -3.699 1.510 1.842
Co -7.579 2.209 0.009
Co -8.956 2.708 4.145
Co -2.322 1.012 -2.294
Co -10.320 0.610 -3.017
Co -6.439 -0.089 -1.183
Ge -5.966 2.186 -1.723
Ge -5.967 2.179 1.742
Ge -3.959 -2.964 -1.936
Ge -12.145 2.840 -0.433
Ge -8.052 -0.065 0.549
Ge -8.052 -0.059 -2.917
Ge -10.060 5.084 0.761
Ge -1.874 -0.720 -0.742
Te -4.444 -0.370 -2.829
Te -7.297 4.544 3.389
Te -6.992 -2.615 -1.066
Te -9.306 2.681 -1.843
Te -9.575 2.491 1.655
Te -6.722 -2.424 -4.564
Te -7.027 4.735 -0.108
Te -4.713 -0.561 0.668

***

Entry 4:
5
Lattice="-2.993 -0.659 4.928 4.123 -1.279 2.333 0.971 5.564 1.334" Properties=species:S:1:pos:R:3 comment="PBE-GGA YCoGeTe2, relaxed" raw_formation_energy_mev_per_atom=636 pbc="T T T"
Y 0.000 0.000 0.000
Ge 1.050 1.813 4.297
Te 0.485 2.782 0.667
Te -1.496 -0.329 2.464
Co 2.061 -0.639 1.167

***

Entry 5:
8
Lattice="-3.126 -1.996 1.974 2.344 -0.185 3.523 -1.584 8.382 1.495" Properties=species:S:1:pos:R:3 comment="PBE-GGA ThCoGe2, relaxed" energy_ev_per_atom=-6.6263 pbc="T T T"
Ge -1.251 -0.411 2.083
Ge -1.116 6.612 4.909
Ge -0.985 3.643 2.120
Ge -1.381 2.557 4.872
Co -0.255 4.582 4.230
Co -2.111 1.618 2.762
Th 1.066 1.478 3.187
Th -3.432 4.722 3.805

***

Entry 6:
20
Lattice="5.937 0.000 0.000 2.968 7.677 0.098 2.968 1.281 7.570" Properties=species:S:1:pos:R:3 comment="PBE-GGA Th2Co3Ge5, relaxed" energy_ev_per_atom=-6.5392 pbc="T T T"
Th 2.968 4.791 1.042
Th 5.937 1.768 4.573
Th 8.905 4.167 6.626
Th 5.937 7.190 3.095
Co 5.937 4.994 5.724
Co 8.905 6.426 4.051
Co 5.937 3.964 1.944
Co 2.968 2.532 3.617
Co 1.484 0.000 0.000
Co 4.452 0.000 0.000
Ge 5.937 3.162 7.182
Ge 8.905 7.584 2.016
Ge 5.937 5.796 0.486
Ge 2.968 1.374 5.652
Ge 7.421 6.855 5.868
Ge 4.452 2.102 1.800
Ge 7.421 4.479 3.834
Ge 4.452 4.479 3.834
Ge 1.484 2.102 1.800
Ge 10.389 6.855 5.868

***

Entry 7:
12
Lattice="-4.849 -2.639 -2.148 1.626 -5.129 2.479 -2.005 5.640 5.840" Properties=species:S:1:pos:R:3 comment="PBE-GGA Th2CoGe3, relaxed" polymorph_energy_ev_per_atom=0.000 pbc="T T T"
Th -0.995 -1.686 4.242
Th -2.416 -5.824 0.248
Th -4.233 -0.441 1.928
Th -0.806 -1.944 0.083
Co -2.409 1.170 4.000
Co -2.819 -3.297 2.171
Ge -4.539 2.048 3.857
Ge -3.788 -2.984 0.099
Ge -0.689 -4.175 2.314
Ge -1.440 0.856 6.072
Ge -3.970 -2.738 4.082
Ge -1.258 0.611 2.089

***

Entry 8:
28
Lattice="-3.112 -1.038 2.058 3.894 -1.751 5.006 -1.014 15.015 6.040" Properties=species:S:1:pos:R:3 comment="PBE-GGA ThCo4Ge2, relaxed" energy_ev_per_atom=-6.8090 pbc="T T T"
Ge 1.321 6.741 7.219
Ge -1.553 5.486 5.885
Ge -2.597 13.235 8.214
Ge 2.365 -1.009 4.890
Ge -1.495 11.124 5.171
Ge 1.264 1.102 7.933
Ge -1.085 9.438 8.586
Ge 0.853 2.789 4.518
Co -0.217 9.537 6.303
Co -0.014 2.690 6.801
Co 0.052 9.940 10.558
Co -0.284 2.287 2.546
Co 1.249 8.901 8.200
Co -1.481 3.326 4.904
Co -2.372 11.007 7.429
Co 2.141 1.220 5.675
Co -0.137 7.305 5.299
Co -0.095 4.921 7.805
Co -0.173 12.236 11.375
Co -0.059 -0.010 1.728
Co 0.774 4.877 5.451
Co -1.005 7.350 7.652
Co -2.424 0.708 2.157
Co 2.193 11.519 10.947
Th -2.841 8.346 5.378
Th 2.610 3.881 7.726
Th 0.380 12.163 8.531
Th -0.612 0.064 4.573

***

Entry 9:
24
Lattice="4.198 0.000 0.000 0.000 11.575 0.000 0.000 0.000 11.914" Properties=species:S:1:pos:R:3 comment="PBE-GGA Th3CoGe2, relaxed" energy_ev_per_atom=-7.0823 pbc="T T T"
Th 1.049 4.334 0.648
Th 3.148 7.241 11.266
Th 3.148 10.121 5.309
Th 1.049 1.454 6.605
Th 1.049 8.155 2.624
Th 3.148 3.419 9.289
Th 3.148 2.368 3.333
Th 1.049 9.207 8.581
Th 1.049 5.143 4.534
Th 3.148 6.432 7.380
Th 3.148 10.930 1.423
Th 1.049 0.644 10.491
Co 1.049 1.536 1.570
Co 3.148 10.038 10.343
Co 3.148 7.324 4.387
Co 1.049 4.251 7.527
Ge 1.049 7.960 5.718
Ge 3.148 3.615 6.196
Ge 3.148 2.173 0.239
Ge 1.049 9.402 11.675
Ge 1.049 0.037 3.641
Ge 3.148 11.538 8.273
Ge 3.148 5.824 2.316
Ge 1.049 5.750 9.598

***

Entry 10:
28
Lattice="4.180 0.000 0.000 0.000 6.500 0.000 0.000 0.000 17.199" Properties=species:S:1:pos:R:3 comment="PBE-GGA ThCo2Ge4, relaxed" energy_ev_per_atom=-6.1339 pbc="T T T"
Ge 1.045 1.895 12.045
Ge 3.135 4.605 5.154
Ge 3.135 5.145 13.754
Ge 1.045 1.355 3.445
Ge 1.045 4.495 11.666
Ge 3.135 2.005 5.533
Ge 3.135 1.245 14.132
Ge 1.045 5.255 3.067
Ge 1.045 0.961 9.078
Ge 3.135 5.539 8.121
Ge 3.135 4.211 16.720
Ge 1.045 2.289 0.478
Ge 1.045 3.133 7.443
Ge 3.135 3.367 9.756
Ge 3.135 6.383 1.157
Ge 1.045 0.117 16.042
Co 1.045 4.884 9.124
Co 3.135 1.617 8.075
Co 3.135 1.634 16.674
Co 1.045 4.867 0.524
Co 1.045 6.435 13.589
Co 3.135 0.066 3.610
Co 3.135 3.184 12.210
Co 1.045 3.316 4.989
Th 3.135 0.057 10.991
Th 1.045 6.443 6.208
Th 1.045 3.307 14.807
Th 3.135 3.193 2.392

***

Entry 11:
3
Lattice="-1.278 2.541 2.614 -3.934 -0.481 -1.456 1.420 -2.483 3.107" Properties=species:S:1:pos:R:3 comment="PBE-GGA ThCoGe, relaxed" energy_ev_per_atom=-6.9806 pbc="T T T"
Ge -2.363 -0.724 0.501
Co -0.213 0.423 0.436
Th -1.217 -0.122 3.328